(1)
# PBE ThFe2NiH8, relaxed
data_ThFe2NiH8
_chemical_formula_sum 'Th1 Fe2 Ni1 H8'
_cell_length_a 4.526
_cell_length_b 4.526
_cell_length_c 6.311
_cell_angle_alpha 90.00
_cell_angle_beta 90.00
_cell_angle_gamma 120.00
_symmetry_space_group_name_H-M 'P 1'
_symmetry_Int_Tables_number 1
_symmetry_space_group_name_Hall 'P 1'
loop_
_atom_site_label
_atom_site_fract_x
_atom_site_fract_y
_atom_site_fract_z
Th1 0.000 0.000 0.500
Fe1 0.333 0.667 0.853
Fe2 0.667 0.333 0.147
Ni1 0.000 0.000 0.000
H1 0.136 0.271 0.812
H2 0.136 0.864 0.812
H3 0.729 0.864 0.812
H4 0.271 0.136 0.188
H5 0.667 0.333 0.418
H6 0.333 0.667 0.582
H7 0.864 0.729 0.188
H8 0.864 0.136 0.188
# * total DFT energy (no corrections): -4.68 eV/atom
# * space-group type: P-3m1, No. 164



(2)
# PBE TmPPd, relaxed
data_TmPPd
_chemical_formula_sum 'Tm6 P6 Pd6'
_cell_length_a 3.966
_cell_length_b 6.802
_cell_length_c 11.647
_cell_angle_alpha 89.47
_cell_angle_beta 90.00
_cell_angle_gamma 90.00
_symmetry_space_group_name_H-M 'P 1'
_symmetry_Int_Tables_number 1
_symmetry_space_group_name_Hall 'P 1'
loop_
_atom_site_label
_atom_site_fract_x
_atom_site_fract_y
_atom_site_fract_z
Tm1 0.750 0.534 0.378
Tm2 0.250 0.963 0.709
Tm3 0.750 0.037 0.291
Tm4 0.750 0.664 0.079
Tm5 0.250 0.466 0.622
Tm6 0.250 0.336 0.921
P1 0.250 0.747 0.915
P2 0.750 0.257 0.750
P3 0.750 0.749 0.583
P4 0.750 0.253 0.085
P5 0.250 0.251 0.417
P6 0.250 0.743 0.250
Pd1 0.250 0.997 0.092
Pd2 0.250 0.854 0.458
Pd3 0.750 0.624 0.793
Pd4 0.750 0.146 0.542
Pd5 0.250 0.376 0.207
Pd6 0.750 0.003 0.908
# * space-group type: P2_1/m, No. 11
# * energy of formation: -1265 meV per atom